A geometry-optimized MnSi2 structure, computed with GGA-PBE.

Lattice parameters (Å, degrees): 4.217 4.217 2.494 90.00 90.00 120.00
Site moments in Bohr magnetons follow the coordinates.
Fractional coordinates of all 3 atoms:
Mn: 0.000 0.000 0.000  2.17
Si: 0.333 0.667 0.500  -0.02
Si: 0.667 0.333 0.500  -0.02

Crystal system: hexagonal
Total magnetization in μB/f.u.: 2.10
Formation energy from raw total energies in eV per atom: 0.1980